Entry from Alexandria via LeMat-Bulk: a relaxed K2FeIrO6 crystal (GGA+U).

Output
V: 162.3 Å³/cell
raw total energy: -5.684 eV per atom
crystal system: trigonal

Cell and atoms, written as CIF:
```
data_K2FeIrO6
_symmetry_space_group_name_H-M 'P -3 m 1'
_symmetry_Int_Tables_number 164
_symmetry_space_group_name_Hall '-P 3 2"'
_cell_length_a 6.0132
_cell_length_b 6.0132
_cell_length_c 5.1827
_cell_angle_alpha 90.00
_cell_angle_beta 90.00
_cell_angle_gamma 120.00
loop_
_atom_site_label
_atom_site_fract_x
_atom_site_fract_y
_atom_site_fract_z
_atom_site_occupancy
K1 0.3333 0.6667 0.2165 1
Fe1 0.0000 0.0000 0.5000 1
Ir1 0.0000 0.0000 0.0000 1
O1 0.1450 0.2899 0.7669 1
```